Entry 1:
K2Na3Tl6 | PBE | optimized geometry

Summary:
Magnetization in μB/atom: 0.000
Symmetry: Cmmm
V in Å³ per atom: 35.6
Formation energy in eV/atom: 0.00
Calculated density in Mg/m³: 5.8

Cell lengths 3.8429, 10.1665, 10.1665 Å; angles 100.09, 90.00, 90.00 degrees
Fractional positions:
Tl1 0.5000 0.0543 0.3723
Tl2 0.5000 0.9457 0.6277
Tl3 0.5000 0.6150 0.6150
Tl4 0.5000 0.3850 0.3850
Tl5 0.5000 0.6277 0.9457
Tl6 0.5000 0.3723 0.0543
Na1 0.5000 0.0000 0.0000
Na2 0.0000 0.1953 0.1953
Na3 0.0000 0.8047 0.8047
K1 0.0000 0.7061 0.2939
K2 0.0000 0.2939 0.7061

=====

Entry 2:
K5NaTl4 | PBE | optimized geometry

Summary:
Magnetization in μB/atom: 0.000
Symmetry: C2/m
V in Å³ per atom: 47.8
Formation energy in eV/atom: -0.05
Calculated density in Mg/m³: 3.6

Cell lengths 4.8985, 9.6903, 12.1116 Å; angles 121.20, 101.67, 90.00 degrees
Fractional positions:
Tl1 0.0313 0.8232 0.0625
Tl2 0.3716 0.0399 0.7432
Tl3 0.9687 0.1768 0.9375
Tl4 0.6284 0.9601 0.2568
Na1 0.5000 0.0000 0.0000
K1 0.5000 0.5000 0.0000
K2 0.8115 0.2190 0.6231
K3 0.1885 0.7810 0.3769
K4 0.8482 0.7156 0.6965
K5 0.1518 0.2844 0.3035

=====

Which value of calculated density does entry 1 give?
5.8 Mg/m³

=====

The highest V belongs to which entry?
K5NaTl4

=====

calculated density of number 1 (K2Na3Tl6)?
5.8 Mg/m³

=====

Which value of magnetization does entry 1 give?
0.000 μB/atom